[1]
# SrTaAs2Se

A relaxed structure of SrTaAs2Se (GGA-PBE, the Alexandria database).

Properties
Its raw formation energy is 153 kJ/mol of atoms. The value obtained for the size of the total moment is 0.12 μB/f.u. Its density of states at the Fermi level is 7.462 states/eV/cell. For the total energy, the calculation gives -18.38 eV per cell. Its energy relative to the lowest polymorph listed for this composition is 211.5 kJ per mole of atoms.

Unit cell a=5.3464 b=5.3464 c=5.4019 alpha=90.00 beta=90.00 gamma=90.00
Closest atoms and distances in Å follow each position.
Space group P4/mmm (No. 123)
Asymmetric unit:
Sr  0.0000  0.0000  0.0000  4 As 2.67, 2 Se 2.70
Ta  0.5000  0.5000  0.5000  4 Se 3.78, 8 As 3.80
As  0.0000  0.5000  0.0000  2 Sr 2.67
Se  0.0000  0.0000  0.5000  2 Sr 2.70

---

[2]
# SrTaAs2Se

A relaxed structure of SrTaAs2Se (GGA-PBE, the Alexandria database).

Properties
Its raw formation energy is -58 kJ/mol of atoms. The value obtained for the size of the total moment is 0.00 μB/f.u. Its density of states at the Fermi level is 2.744 states/eV/cell. For the total energy, the calculation gives -29.34 eV per cell. Its energy relative to the lowest polymorph listed for this composition is 0.0 kJ per mole of atoms.

Unit cell a=5.0233 b=5.0233 c=5.1839 alpha=90.00 beta=90.00 gamma=90.00
Closest atoms and distances in Å follow each position.
Space group P4/mmm (No. 123)
Asymmetric unit:
Sr  0.0000  0.0000  0.0000  4 Se 3.55, 8 As 3.61
Ta  0.5000  0.5000  0.5000  4 As 2.51, 2 Se 2.59
As  0.0000  0.5000  0.5000  2 Ta 2.51
Se  0.5000  0.5000  0.0000  2 Ta 2.59

---

[3]
# SrTcAs2Se

A relaxed structure of SrTcAs2Se (GGA-PBE, the Alexandria database).

Properties
Its raw formation energy is -37 kJ/mol of atoms. The value obtained for the size of the total moment is 0.00 μB/f.u. Its density of states at the Fermi level is 2.736 states/eV/cell. For the total energy, the calculation gives -26.75 eV per cell. Its energy relative to the lowest polymorph listed for this composition is 0.0 kJ per mole of atoms.

Unit cell a=4.6952 b=4.6952 c=5.8404 alpha=90.00 beta=90.00 gamma=90.00
Closest atoms and distances in Å follow each position.
Space group P4/mmm (No. 123)
Asymmetric unit:
Sr  0.0000  0.0000  0.0000  4 Se 3.32
Tc  0.5000  0.5000  0.5000  4 As 2.35
As  0.0000  0.5000  0.5000  2 Tc 2.35
Se  0.5000  0.5000  0.0000  2 Tc 2.92

---

[4]
# SrTcAs2Se

A relaxed structure of SrTcAs2Se (GGA-PBE, the Alexandria database).

Properties
Its raw formation energy is 167 kJ/mol of atoms. The value obtained for the size of the total moment is 0.31 μB/f.u. Its density of states at the Fermi level is 7.743 states/eV/cell. For the total energy, the calculation gives -16.16 eV per cell. Its energy relative to the lowest polymorph listed for this composition is 204.4 kJ per mole of atoms.

Unit cell a=5.4895 b=5.4895 c=5.4830 alpha=90.00 beta=90.00 gamma=90.00
Closest atoms and distances in Å follow each position.
Space group P4/mmm (No. 123)
Asymmetric unit:
Sr  0.0000  0.0000  0.0000  2 Se 2.74, 4 As 2.74
Tc  0.5000  0.5000  0.5000  8 As 3.88, 4 Se 3.88
As  0.0000  0.5000  0.0000  2 Sr 2.74
Se  0.0000  0.0000  0.5000  2 Sr 2.74

---

[5]
# SrTeAsSe2

A relaxed structure of SrTeAsSe2 (GGA-PBE, the Alexandria database).

Properties
Its raw formation energy is -26 kJ/mol of atoms. The value obtained for the size of the total moment is 0.00 μB/f.u. Its density of states at the Fermi level is 4.428 states/eV/cell. For the total energy, the calculation gives -17.81 eV per cell. Its energy relative to the lowest polymorph listed for this composition is 0.0 kJ per mole of atoms.

Unit cell a=5.4449 b=5.4449 c=5.2532 alpha=90.00 beta=90.00 gamma=90.00
Closest atoms and distances in Å follow each position.
Space group P4/mmm (No. 123)
Asymmetric unit:
Sr  0.0000  0.0000  0.0000  8 Se 3.78, 4 As 3.85
Te  0.5000  0.5000  0.5000  2 As 2.63, 4 Se 2.72
As  0.5000  0.5000  0.0000  2 Te 2.63
Se  0.0000  0.5000  0.5000  2 Te 2.72

---

[6]
# SrTeAsSe2

A relaxed structure of SrTeAsSe2 (GGA-PBE, the Alexandria database).

Properties
Its raw formation energy is 56 kJ/mol of atoms. The value obtained for the size of the total moment is 2.52 μB/f.u. Its density of states at the Fermi level is 6.631 states/eV/cell. For the total energy, the calculation gives -13.53 eV per cell. Its energy relative to the lowest polymorph listed for this composition is 82.7 kJ per mole of atoms.

Unit cell a=5.6878 b=5.6878 c=5.9191 alpha=90.00 beta=90.00 gamma=90.00
Closest atoms and distances in Å follow each position.
Space group P4/mmm (No. 123)
Asymmetric unit:
Sr  0.0000  0.0000  0.0000  4 Se 2.84, 2 As 2.96
Te  0.5000  0.5000  0.5000  4 As 4.02, 8 Se 4.10
As  0.0000  0.0000  0.5000  2 Sr 2.96
Se  0.0000  0.5000  0.0000  2 Sr 2.84

---

[7]
# SrTiAsSe2

A relaxed structure of SrTiAsSe2 (GGA-PBE, the Alexandria database).

Properties
Its raw formation energy is 59 kJ/mol of atoms. The value obtained for the size of the total moment is 1.41 μB/f.u. Its density of states at the Fermi level is 5.655 states/eV/cell. For the total energy, the calculation gives -18.11 eV per cell. Its energy relative to the lowest polymorph listed for this composition is 157.8 kJ per mole of atoms.

Unit cell a=5.5908 b=5.5908 c=5.4724 alpha=90.00 beta=90.00 gamma=90.00
Closest atoms and distances in Å follow each position.
Space group P4/mmm (No. 123)
Asymmetric unit:
Sr  0.0000  0.0000  0.0000  2 As 2.74, 4 Se 2.80
Ti  0.5000  0.5000  0.5000  8 Se 3.91, 4 As 3.95
As  0.0000  0.0000  0.5000  2 Sr 2.74
Se  0.0000  0.5000  0.0000  2 Sr 2.80

---

[8]
# SrTiAsSe2

A relaxed structure of SrTiAsSe2 (GGA-PBE, the Alexandria database).

Properties
Its raw formation energy is -98 kJ/mol of atoms. The value obtained for the size of the total moment is 0.00 μB/f.u. Its density of states at the Fermi level is 1.835 states/eV/cell. For the total energy, the calculation gives -26.29 eV per cell. Its energy relative to the lowest polymorph listed for this composition is 0.0 kJ per mole of atoms.

Unit cell a=5.0414 b=5.0414 c=4.9567 alpha=90.00 beta=90.00 gamma=90.00
Closest atoms and distances in Å follow each position.
Space group P4/mmm (No. 123)
Asymmetric unit:
Sr  0.0000  0.0000  0.0000  8 Se 3.53, 4 As 3.56
Ti  0.5000  0.5000  0.5000  2 As 2.48, 4 Se 2.52
As  0.5000  0.5000  0.0000  2 Ti 2.48
Se  0.0000  0.5000  0.5000  2 Ti 2.52